[1]
Here is a geometry-optimized TmSbO4 structure from the Alexandria database. Energies are from PBE.

## Properties
total magnetization = 0.000 μB per atom
ΔE_f (raw) = -2.43 eV/atom
crystal system = monoclinic
DFT total energy = -171.9 eV per cell
N(E_F) = 0.00 states/eV per atom

Cell and atoms, written as POSCAR:
```
TmSbO4
1.0
-1.202 4.700 -2.207
-5.278 1.103 5.224
4.291 3.541 5.205
Tm Sb O
4 4 16
Direct
0.726 0.615 0.145
0.274 0.385 0.855
0.774 0.115 0.145
0.226 0.885 0.855
0.767 0.191 0.664
0.233 0.809 0.336
0.267 0.309 0.336
0.733 0.691 0.664
0.905 0.690 0.430
0.095 0.310 0.570
0.389 0.563 0.327
0.611 0.437 0.673
0.111 0.063 0.327
0.889 0.937 0.673
0.595 0.190 0.430
0.405 0.810 0.570
0.974 0.176 0.890
0.026 0.824 0.110
0.474 0.324 0.110
0.526 0.676 0.890
0.518 0.884 0.179
0.482 0.116 0.821
0.982 0.384 0.179
0.018 0.616 0.821
```

[2]
Here is a geometry-optimized LaCr2Re structure from the Alexandria database. Energies are from PBE.

## Properties
total magnetization = 0.266 μB per atom
energy relative to the lowest polymorph listed for this composition = 31.7 kJ/mol of atoms
crystal system = orthorhombic
DFT total energy = -33.9 eV per cell
ΔE_f = 0.69 eV/atom
N(E_F) = 1.05 states/eV per atom

Cell and atoms, written as POSCAR:
```
LaCr2Re
1.0
5.582 -0.022 -0.052
2.610 4.934 0.052
-3.405 -3.607 2.559
Cr La Re
2 1 1
Direct
0.012 0.012 0.000
0.773 0.273 0.500
0.493 0.493 0.000
0.222 0.722 0.500
```

[3]
Here is a geometry-optimized BeTcSe2 structure from the Alexandria database. Energies are from PBE.

## Properties
total magnetization = 0.001 μB per atom
ΔE_f (raw) = -0.10 eV/atom
crystal system = orthorhombic
DFT total energy = -21.4 eV per cell
N(E_F) = 0.94 states/eV per atom

Cell and atoms, written as POSCAR:
```
BeTcSe2
1.0
7.142 0.083 0.007
5.371 4.708 -0.007
-6.123 -2.743 2.448
Be Tc Se
1 1 2
Direct
0.750 0.250 0.500
0.250 0.750 0.500
0.876 0.876 0.000
0.624 0.624 0.000
```

Copy entry 2 word for word.
Here is a geometry-optimized LaCr2Re structure from the Alexandria database. Energies are from PBE.

## Properties
total magnetization = 0.266 μB per atom
energy relative to the lowest polymorph listed for this composition = 31.7 kJ/mol of atoms
crystal system = orthorhombic
DFT total energy = -33.9 eV per cell
ΔE_f = 0.69 eV/atom
N(E_F) = 1.05 states/eV per atom

Cell and atoms, written as POSCAR:
```
LaCr2Re
1.0
5.582 -0.022 -0.052
2.610 4.934 0.052
-3.405 -3.607 2.559
Cr La Re
2 1 1
Direct
0.012 0.012 0.000
0.773 0.273 0.500
0.493 0.493 0.000
0.222 0.722 0.500
```

Question: Among the records above, which one has the lowest N(E_F)?
Answer: TmSbO4

Question: Among the records above, which one has the highest N(E_F)?
Answer: LaCr2Re